VASP calculation (meta-GGA SCAN) on a PBEsol-optimized structure of Ba2InHg2.

Values from the calculation:
Its energy above the lowest structure with this stoichiometry is 0.1310 eV/atom. As for the space-group type: I4/mmm, No. 139. Its crystal system is tetragonal. The energy relative to the elements is -0.44 eV per atom.

Lattice parameters (Å, degrees): 6.336 6.336 6.336 118.27 118.27 93.02
Fractional coordinates of all 5 atoms:
Ba: 0.250 0.750 0.500
Ba: 0.750 0.250 0.500
In: 0.000 0.000 0.000
Hg: 0.343 0.343 0.000
Hg: 0.657 0.657 0.000


VASP calculation (meta-GGA SCAN) on a PBEsol-optimized structure of Si2Pt.

Values from the calculation:
As for the space-group type: Cm, No. 8. Its crystal system is monoclinic. The energy relative to the elements, uncorrected is -0.677 eV per formula unit.

Lattice parameters (Å, degrees): 4.990 4.990 5.893 103.98 103.98 41.80
Fractional coordinates of all 6 atoms:
Si: 0.000 0.000 0.000
Si: 0.029 0.029 0.414
Si: 0.402 0.402 0.718
Si: 0.771 0.771 0.298
Pt: 0.261 0.261 0.020
Pt: 0.665 0.665 0.626


VASP calculation (meta-GGA SCAN) on a PBEsol-optimized structure of Ag3O.

Values from the calculation:
As for the space-group type: P-31m, No. 162. Its crystal system is trigonal. The energy relative to the elements, uncorrected is -0.505 eV per formula unit.

Lattice parameters (Å, degrees): 5.223 5.223 4.991 90.00 90.00 120.00
Fractional coordinates of all 8 atoms:
Ag: 0.000 0.314 0.282
Ag: 0.000 0.686 0.718
Ag: 0.314 0.000 0.282
Ag: 0.314 0.314 0.718
Ag: 0.686 0.000 0.718
Ag: 0.686 0.686 0.282
O: 0.333 0.667 0.000
O: 0.667 0.333 0.000


Number 1: total magnetic moment 0.00 μB/f.u.. Number 2: total magnetic moment 0.00 μB/f.u.. Number 3: total magnetic moment 0.00 μB/f.u..